Compound: Pr2GePt
Source: Alexandria via LeMat-Bulk
Functional: PBE
Structure: optimized geometry

## Properties
Space-group type ... P4/mmm (123)
Calculated volume ... 24.850 A^3/atom
Formation energy ... -0.82 eV per atom

abc: 3.613 3.613 7.613
angles: 90.00 90.00 90.00
Sites, in units of the cell vectors:
Pr 0.000 0.000 0.242
Pr 0.000 0.000 0.758
Ge 0.500 0.500 0.500
Pt 0.500 0.500 0.000